{
  "formula": "URh2Au",
  "functional": "PBE-GGA",
  "state": "relaxed",
  "ef_ev_per_atom": -0.0518,
  "final_energy_ev_per_fu": -29.476,
  "cell": [[2.866, 0.000, 0.000], [1.433, 2.482, 0.000], [1.433, 0.827, 9.570]],
  "species": ["Au", "U", "Rh", "Rh"],
  "frac_coords": [[0.500, 0.500, 0.500], [0.000, 0.000, 0.000], [0.749, 0.749, 0.754], [0.251, 0.251, 0.246]]
}

{
  "formula": "YMn2Te",
  "functional": "PBE-GGA",
  "state": "relaxed",
  "final_energy_ev_per_fu": -27.956,
  "cell": [[3.652, 0.000, 0.000], [0.000, 3.652, 0.000], [0.000, 0.000, 6.514]],
  "species": ["Mn", "Mn", "Te", "Y"],
  "frac_coords": [[0.000, 0.000, 0.041], [0.500, 0.500, 0.228], [0.000, 0.000, 0.470], [0.500, 0.500, 0.760]]
}

{
  "formula": "Pa2AsO4",
  "functional": "PBE-GGA",
  "state": "relaxed",
  "final_energy_ev_per_fu": -62.354,
  "polymorph_energy_mev_per_atom": 190,
  "cell": [[-0.683, 3.129, -1.139], [-4.193, -3.269, -6.467], [-7.048, 0.106, 4.516]],
  "species": ["Pa", "Pa", "Pa", "Pa", "As", "As", "O", "O", "O", "O", "O", "O", "O", "O"],
  "frac_coords": [[0.000, 0.246, 0.754], [0.000, 0.754, 0.246], [0.500, 0.746, 0.746], [0.500, 0.254, 0.254], [0.500, 0.000, 0.000], [0.000, 0.500, 0.500], [0.000, 0.124, 0.334], [0.000, 0.876, 0.666], [0.500, 0.166, 0.624], [0.500, 0.834, 0.376], [0.500, 0.376, 0.834], [0.500, 0.624, 0.166], [0.000, 0.334, 0.124], [0.000, 0.666, 0.876]]
}

{
  "formula": "Cs3Sm3TiS8",
  "functional": "PBE-GGA",
  "state": "relaxed",
  "final_energy_ev_per_fu": -82.935,
  "cell": [[8.060, 0.000, 0.000], [-4.030, 6.982, -0.031], [0.000, -4.624, 8.247]],
  "species": ["Cs", "Cs", "Cs", "Sm", "Sm", "Sm", "Ti", "S", "S", "S", "S", "S", "S", "S", "S"],
  "frac_coords": [[0.000, 0.000, 0.000], [0.000, 0.500, 0.000], [0.500, 0.500, 0.000], [0.500, 0.000, 0.500], [0.500, 0.500, 0.500], [0.000, 0.500, 0.500], [0.000, 0.000, 0.500], [0.271, 0.542, 0.314], [0.729, 0.458, 0.686], [0.793, 0.586, 0.329], [0.207, 0.414, 0.671], [0.793, 0.036, 0.329], [0.207, 0.964, 0.671], [0.243, 0.036, 0.329], [0.757, 0.964, 0.671]]
}

{
  "formula": "Cs2Ca4Se",
  "functional": "PBE-GGA",
  "state": "relaxed",
  "final_energy_ev_per_fu": -14.686,
  "cell": [[-4.339, 3.632, 1.206], [-2.653, -1.541, -4.905], [-9.456, -8.098, 4.247]],
  "species": ["Cs", "Cs", "Ca", "Ca", "Ca", "Ca", "Se"],
  "frac_coords": [[0.684, 0.684, 0.631], [0.316, 0.316, 0.369], [0.883, 0.883, 0.234], [0.117, 0.117, 0.766], [0.000, 0.500, 0.000], [0.500, 0.000, 0.000], [0.000, 0.000, 0.000]]
}

{
  "formula": "BaNaAlB2",
  "functional": "PBE-GGA",
  "state": "relaxed",
  "ef_ev_per_atom": 1.5617,
  "final_energy_ev_per_fu": -12.531,
  "cell": [[-2.926, 3.074, -2.406], [-3.892, -3.027, 0.865], [-0.924, 2.377, 4.160]],
  "species": ["Na", "B", "B", "Ba", "Al"],
  "frac_coords": [[0.000, 0.000, 0.000], [0.000, 0.000, 0.500], [0.500, 0.000, 0.000], [0.500, 0.500, 0.500], [0.000, 0.500, 0.000]]
}

{
  "formula": "Th8Hg2Bi",
  "functional": "PBE-GGA",
  "state": "relaxed",
  "ef_ev_per_atom": -0.0119,
  "final_energy_ev_per_fu": -63.974,
  "cell": [[6.469, -0.209, -0.159], [-0.189, 8.424, 2.196], [-0.189, 4.383, 7.522]],
  "species": ["Th", "Th", "Th", "Th", "Th", "Th", "Th", "Th", "Hg", "Hg", "Bi"],
  "frac_coords": [[0.381, 0.347, 0.842], [0.619, 0.158, 0.653], [0.149, 0.791, 0.791], [0.851, 0.209, 0.209], [0.381, 0.842, 0.347], [0.619, 0.653, 0.158], [0.897, 0.583, 0.583], [0.103, 0.417, 0.417], [0.650, 0.741, 0.741], [0.350, 0.259, 0.259], [0.000, 0.000, 0.000]]
}

{
  "formula": "CaV2WBr",
  "functional": "PBE-GGA",
  "state": "relaxed",
  "final_energy_ev_per_fu": -23.455,
  "cell": [[5.281, 0.000, 0.000], [0.000, 5.004, 0.000], [0.000, 0.000, 5.281]],
  "species": ["Ca", "Br", "W", "V", "V"],
  "frac_coords": [[0.000, 0.000, 0.000], [0.000, 0.500, 0.000], [0.500, 0.500, 0.500], [0.000, 0.000, 0.500], [0.500, 0.000, 0.000]]
}

{
  "formula": "Sm2Cd2Hg",
  "functional": "PBE-GGA",
  "state": "relaxed",
  "ef_ev_per_atom": -0.3135,
  "final_energy_ev_per_fu": -13.138,
  "polymorph_energy_mev_per_atom": 0,
  "cell": [[3.447, 0.000, 0.000], [0.000, 4.790, 0.908], [0.000, 0.955, 8.054]],
  "species": ["Sm", "Sm", "Cd", "Cd", "Hg"],
  "frac_coords": [[0.500, 0.387, 0.226], [0.500, 0.613, 0.774], [0.000, 0.200, 0.600], [0.000, 0.800, 0.400], [0.000, 0.000, 0.000]]
}

{
  "formula": "CaTc2CF",
  "functional": "PBE-GGA",
  "state": "relaxed",
  "final_energy_ev_per_fu": -27.638,
  "cell": [[4.003, 0.000, 0.000], [0.000, 4.939, 0.000], [0.000, 0.000, 4.003]],
  "species": ["C", "Ca", "Tc", "Tc", "F"],
  "frac_coords": [[0.000, 0.500, 0.000], [0.500, 0.500, 0.500], [0.000, 0.000, 0.500], [0.500, 0.000, 0.000], [0.000, 0.000, 0.000]]
}

{
  "formula": "BePbSe2",
  "functional": "PBE-GGA",
  "state": "relaxed",
  "final_energy_ev_per_fu": -16.505,
  "polymorph_energy_mev_per_atom": 0,
  "cell": [[-2.838, 5.407, 2.871], [1.751, -2.315, 6.091], [3.117, 3.610, 4.213]],
  "species": ["Pb", "Pb", "Be", "Be", "Se", "Se", "Se", "Se"],
  "frac_coords": [[0.000, 0.000, 0.000], [0.750, 0.250, 0.500], [0.500, 0.500, 0.000], [0.250, 0.750, 0.500], [0.531, 0.125, 0.250], [0.219, 0.625, 0.250], [0.375, 0.469, 0.750], [0.875, 0.781, 0.750]]
}

{
  "formula": "BeSbBr2",
  "functional": "PBE-GGA",
  "state": "relaxed",
  "final_energy_ev_per_fu": -11.976,
  "polymorph_energy_mev_per_atom": 126,
  "cell": [[-1.040, -3.448, -0.880], [2.200, 1.137, 2.759], [-10.019, 1.101, 7.536]],
  "species": ["Sb", "Br", "Br", "Be"],
  "frac_coords": [[0.500, 0.500, 0.250], [0.000, 0.000, 0.876], [0.000, 0.000, 0.624], [0.500, 0.500, 0.750]]
}